Material: NbHgF3
Method: DFT, PBE-GGA
State: relaxed

Cell lengths 4.325, 4.325, 4.325 Å; angles 90.00, 90.00, 90.00 degrees
Fractional positions:
Hg  0.500  0.500  0.500
F  0.000  0.500  0.000
F  0.500  0.000  0.000
F  0.000  0.000  0.500
Nb  0.000  0.000  0.000

- ΔE_f (raw) (eV/atom) = -1.882
- energy (eV/cell) = -25.394
- offset from the most stable computed form (meV per atom) = 0

***

Material: Ba2AgIr
Method: DFT, PBE-GGA
State: relaxed

Cell lengths 3.856, 3.856, 9.072 Å; angles 90.00, 90.00, 89.96 degrees
Fractional positions:
Ag  0.500  0.500  0.679
Ba  0.500  0.500  0.348
Ba  0.000  0.000  0.900
Ir  0.000  0.000  0.573

- ΔH_f (0 K) (eV/atom) = 0.2227
- energy (eV/cell) = -14.667
- offset from the most stable computed form (meV per atom) = 312

***

Copy entry 2 word for word.
Material: Ba2AgIr
Method: DFT, PBE-GGA
State: relaxed

Cell lengths 3.856, 3.856, 9.072 Å; angles 90.00, 90.00, 89.96 degrees
Fractional positions:
Ag  0.500  0.500  0.679
Ba  0.500  0.500  0.348
Ba  0.000  0.000  0.900
Ir  0.000  0.000  0.573

- ΔH_f (0 K) (eV/atom) = 0.2227
- energy (eV/cell) = -14.667
- offset from the most stable computed form (meV per atom) = 312

***

The highest energy belongs to which entry?
Ba2AgIr